[1]
! ZnCd2S | Alexandria via LeMat-Bulk | PBE | relaxed; values from VASP
&SYSTEM
  ibrav = 0, nat = 4, ntyp = 3
/
ATOMIC_SPECIES
Cd 112.41 Cd.upf
Zn 65.41 Zn.upf
S 32.06 S.upf
CELL_PARAMETERS angstrom
-2.036 -4.097 -1.801
-4.879 -0.594 0.154
-2.631 0.182 -4.150
ATOMIC_POSITIONS crystal
Cd 0.750 0.750 0.750
Cd 0.250 0.250 0.250
Zn 0.500 0.500 0.500
S 0.000 0.000 0.000
! - Raw formation energy: 0.67 eV/f.u.
! - Space-group type: Fm-3m (225)
! - VASP energy: -1.6404 eV/atom

=====

[2]
! Na2PdPt2Se6 | Alexandria via LeMat-Bulk | PBE | relaxed; values from VASP
&SYSTEM
  ibrav = 0, nat = 11, ntyp = 4
/
ATOMIC_SPECIES
Na 22.99 Na.upf
Pt 195.08 Pt.upf
Se 78.96 Se.upf
Pd 106.42 Pd.upf
CELL_PARAMETERS angstrom
-2.184 -0.860 6.227
6.140 -1.867 -1.761
1.062 7.210 0.198
ATOMIC_POSITIONS crystal
Na 0.838 0.162 0.000
Na 0.162 0.838 0.000
Pt 0.333 0.667 0.500
Pt 0.667 0.333 0.500
Se 0.269 0.269 0.318
Se 0.588 0.941 0.306
Se 0.731 0.731 0.682
Se 0.059 0.412 0.694
Se 0.412 0.059 0.694
Se 0.941 0.588 0.306
Pd 0.000 0.000 0.500
! - Raw formation energy: -5.53 eV/f.u.
! - Space-group type: C2/m (12)
! - VASP energy: -4.2135 eV/atom

=====

[3]
! SrNd2CuS4 | Alexandria via LeMat-Bulk | PBE | relaxed; values from VASP
&SYSTEM
  ibrav = 0, nat = 16, ntyp = 4
/
ATOMIC_SPECIES
S 32.06 S.upf
Nd 144.24 Nd.upf
Cu 63.55 Cu.upf
Sr 87.62 Sr.upf
CELL_PARAMETERS angstrom
3.997 0.000 0.000
-1.999 6.741 0.000
0.000 0.000 13.985
ATOMIC_POSITIONS crystal
S 0.558 0.117 0.250
S 0.726 0.453 0.624
S 0.000 0.000 0.500
S 0.726 0.453 0.876
S 0.274 0.547 0.124
S 0.274 0.547 0.376
S 0.000 0.000 0.000
S 0.442 0.883 0.750
Nd 0.630 0.261 0.441
Nd 0.630 0.261 0.059
Nd 0.370 0.739 0.941
Nd 0.370 0.739 0.559
Cu 0.844 0.689 0.750
Cu 0.156 0.311 0.250
Sr 0.114 0.228 0.750
Sr 0.886 0.772 0.250
! - Raw formation energy: -13.87 eV/f.u.
! - Space-group type: Cmcm (63)
! - VASP energy: -5.7111 eV/atom

=====

[4]
! HfPt3C | Alexandria via LeMat-Bulk | PBE | relaxed; values from VASP
&SYSTEM
  ibrav = 0, nat = 5, ntyp = 3
/
ATOMIC_SPECIES
Pt 195.08 Pt.upf
C 12.01 C.upf
Hf 178.49 Hf.upf
CELL_PARAMETERS angstrom
-1.094 -0.805 4.740
3.330 -3.633 0.151
3.468 3.235 1.350
ATOMIC_POSITIONS crystal
Pt 0.000 0.500 0.000
Pt 0.000 0.000 0.500
Pt 0.500 0.000 0.000
C 0.500 0.500 0.500
Hf 0.000 0.000 0.000
! - Excess energy over the best structure of this formula in the dataset: 2084.2 meV/atom
! - Space-group type: Pm-3m (221)
! - Energy relative to the elements: 2094 meV/atom
! - VASP energy: -5.3662 eV/atom

=====

[5]
! Na7Zr4Si5PO24 | Alexandria via LeMat-Bulk | PBE | relaxed; values from VASP
&SYSTEM
  ibrav = 0, nat = 41, ntyp = 5
/
ATOMIC_SPECIES
Si 28.09 Si.upf
Zr 91.22 Zr.upf
Na 22.99 Na.upf
O 16.00 O.upf
P 30.97 P.upf
CELL_PARAMETERS angstrom
-6.939 -2.146 5.681
0.630 -7.459 5.408
1.028 1.136 9.136
ATOMIC_POSITIONS crystal
Si 0.967 0.246 0.235
Si 0.553 0.963 0.233
Si 0.754 0.463 0.734
Si 0.250 0.533 0.259
Si 0.037 0.751 0.756
Zr 0.656 0.640 0.058
Zr 0.348 0.357 0.939
Zr 0.152 0.148 0.550
Zr 0.852 0.845 0.438
Na 0.108 0.394 0.747
Na 0.259 0.888 0.218
Na 0.461 0.690 0.567
Na 0.894 0.610 0.241
Na 0.548 0.297 0.410
Na 0.995 0.006 0.997
Na 0.744 0.108 0.781
O 0.226 0.373 0.447
O 0.982 0.776 0.599
O 0.516 0.123 0.058
O 0.269 0.066 0.756
O 0.133 0.268 0.050
O 0.556 0.778 0.241
O 0.067 0.929 0.720
O 0.087 0.722 0.265
O 0.573 0.434 0.776
O 0.449 0.211 0.744
O 0.431 0.563 0.210
O 0.220 0.579 0.761
O 0.784 0.417 0.227
O 0.483 0.887 0.925
O 0.745 0.524 0.878
O 0.741 0.930 0.240
O 0.016 0.228 0.392
O 0.604 0.990 0.591
O 0.249 0.480 0.114
O 0.932 0.070 0.278
O 0.919 0.274 0.733
O 0.872 0.727 0.941
O 0.782 0.620 0.544
O 0.387 0.003 0.411
P 0.450 0.035 0.758
! - Raw formation energy: -111.71 eV/f.u.
! - Space-group type: P1 (1)
! - VASP energy: -7.4796 eV/atom

=====

[6]
! PaZn5Au2 | Alexandria via LeMat-Bulk | PBE | relaxed; values from VASP
&SYSTEM
  ibrav = 0, nat = 8, ntyp = 3
/
ATOMIC_SPECIES
Au 196.97 Au.upf
Zn 65.41 Zn.upf
Pa 231.04 Pa.upf
CELL_PARAMETERS angstrom
-3.747 0.938 -0.779
-3.078 -5.476 -1.754
-3.646 -2.179 4.948
ATOMIC_POSITIONS crystal
Au 0.734 0.766 0.766
Au 0.266 0.234 0.234
Zn 0.632 0.184 0.552
Zn 0.632 0.552 0.184
Zn 0.000 0.500 0.500
Zn 0.368 0.448 0.816
Zn 0.368 0.816 0.448
Pa 0.000 0.000 0.000
! - Space-group type: Immm (71)
! - Energy relative to the elements: -172 meV/atom
! - VASP energy: -2.9744 eV/atom

=====

[7]
! Tc2SbIrPd | Alexandria via LeMat-Bulk | PBE | relaxed; values from VASP
&SYSTEM
  ibrav = 0, nat = 5, ntyp = 4
/
ATOMIC_SPECIES
Pd 106.42 Pd.upf
Ir 192.22 Ir.upf
Tc 98.00 Tc.upf
Sb 121.76 Sb.upf
CELL_PARAMETERS angstrom
-0.232 3.954 2.809
-3.476 1.704 -2.687
-3.271 -2.204 2.833
ATOMIC_POSITIONS crystal
Pd 0.000 0.500 0.000
Ir 0.500 0.500 0.500
Tc 0.000 0.000 0.500
Tc 0.500 0.000 0.000
Sb 0.000 0.000 0.000
! - Raw formation energy: 9.84 eV/f.u.
! - Space-group type: P4/mmm (123)
! - VASP energy: -5.8139 eV/atom

=====

[8]
! PrDy4Sb5 | Alexandria via LeMat-Bulk | PBE | relaxed; values from VASP
&SYSTEM
  ibrav = 0, nat = 10, ntyp = 3
/
ATOMIC_SPECIES
Sb 121.76 Sb.upf
Dy 162.50 Dy.upf
Pr 140.91 Pr.upf
CELL_PARAMETERS angstrom
4.340 0.000 -0.837
-0.322 6.017 -1.670
0.004 -0.005 11.688
ATOMIC_POSITIONS crystal
Sb 0.801 0.301 0.601
Sb 0.199 0.699 0.399
Sb 0.604 0.104 0.208
Sb 0.396 0.896 0.792
Sb 0.000 0.500 0.000
Dy 0.798 0.798 0.596
Dy 0.600 0.600 0.201
Dy 0.202 0.202 0.404
Dy 0.400 0.400 0.799
Pr 0.000 0.000 0.000
! - Raw formation energy: -11.38 eV/f.u.
! - Space-group type: Immm (71)
! - VASP energy: -5.5177 eV/atom

=====

[9]
! LaAl3 | Alexandria via LeMat-Bulk | PBE | relaxed; values from VASP
&SYSTEM
  ibrav = 0, nat = 4, ntyp = 2
/
ATOMIC_SPECIES
Al 26.98 Al.upf
La 138.91 La.upf
CELL_PARAMETERS angstrom
-3.894 -2.085 1.532
1.358 -2.777 -0.328
2.091 0.331 5.765
ATOMIC_POSITIONS crystal
Al 0.500 0.750 0.750
Al 0.000 0.752 0.981
Al 0.000 0.748 0.519
La 0.500 0.250 0.250
! - Space-group type: P2/m (10)
! - Energy relative to the elements: -159 meV/atom
! - VASP energy: -4.1982 eV/atom

=====

[10]
! CeEu2Pb | Alexandria via LeMat-Bulk | PBE | relaxed; values from VASP
&SYSTEM
  ibrav = 0, nat = 4, ntyp = 3
/
ATOMIC_SPECIES
Pb 207.20 Pb.upf
Eu 151.96 Eu.upf
Ce 140.12 Ce.upf
CELL_PARAMETERS angstrom
3.588 0.000 0.000
1.794 3.107 0.000
1.794 1.036 12.413
ATOMIC_POSITIONS crystal
Pb 0.500 0.500 0.500
Eu 0.907 0.907 0.279
Eu 0.093 0.093 0.721
Ce 0.000 0.000 0.000
! - Excess energy over the best structure of this formula in the dataset: 311.2 meV/atom
! - Space-group type: R-3m (166)
! - Energy relative to the elements: 64 meV/atom
! - VASP energy: -7.4839 eV/atom

=====

[11]
! H2PdW | Alexandria via LeMat-Bulk | PBE | relaxed; values from VASP
&SYSTEM
  ibrav = 0, nat = 8, ntyp = 3
/
ATOMIC_SPECIES
H 1.01 H.upf
W 183.84 W.upf
Pd 106.42 Pd.upf
CELL_PARAMETERS angstrom
-3.173 2.744 -0.727
0.219 -0.851 -4.166
-4.276 -2.160 -1.959
ATOMIC_POSITIONS crystal
H 0.875 0.875 0.750
H 0.625 0.125 0.250
H 0.375 0.375 0.750
H 0.125 0.625 0.250
W 0.000 0.000 0.000
W 0.750 0.250 0.500
Pd 0.250 0.750 0.500
Pd 0.500 0.500 0.000
! - Excess energy over the best structure of this formula in the dataset: 0.0 meV/atom
! - Space-group type: I-42d (122)
! - VASP energy: -5.9750 eV/atom

=====

[12]
! Zr2PtPb | Alexandria via LeMat-Bulk | PBE | relaxed; values from VASP
&SYSTEM
  ibrav = 0, nat = 4, ntyp = 3
/
ATOMIC_SPECIES
Pt 195.08 Pt.upf
Zr 91.22 Zr.upf
Pb 207.20 Pb.upf
CELL_PARAMETERS angstrom
-2.867 1.565 1.006
-1.837 -2.094 -1.980
-0.660 -5.001 5.901
ATOMIC_POSITIONS crystal
Pt 0.500 0.500 0.789
Zr 0.000 0.000 0.959
Zr 0.500 0.500 0.228
Pb 0.000 0.000 0.523
! - Space-group type: P4mm (99)
! - Energy relative to the elements: -407 meV/atom
! - VASP energy: -7.1182 eV/atom

=====

[13]
! Li3CoBr | Alexandria via LeMat-Bulk | PBE | relaxed; values from VASP
&SYSTEM
  ibrav = 0, nat = 5, ntyp = 3
/
ATOMIC_SPECIES
Li 6.94 Li.upf
Co 58.93 Co.upf
Br 79.90 Br.upf
CELL_PARAMETERS angstrom
4.800 0.000 0.000
0.000 4.800 0.000
0.000 0.000 4.800
ATOMIC_POSITIONS crystal
Li 0.000 0.500 0.000
Li 0.000 0.000 0.500
Li 0.500 0.000 0.000
Co 0.500 0.500 0.500
Br 0.000 0.000 0.000
! - Raw formation energy: 0.69 eV/f.u.
! - Excess energy over the best structure of this formula in the dataset: 0.0 meV/atom
! - Space-group type: Pm-3m (221)
! - VASP energy: -2.7653 eV/atom

=====

[14]
! ZrSc3Au4 | Alexandria via LeMat-Bulk | PBE | relaxed; values from VASP
&SYSTEM
  ibrav = 0, nat = 8, ntyp = 3
/
ATOMIC_SPECIES
Au 196.97 Au.upf
Sc 44.96 Sc.upf
Zr 91.22 Zr.upf
CELL_PARAMETERS angstrom
0.067 -0.930 4.728
2.067 -4.036 1.633
7.622 2.146 2.770
ATOMIC_POSITIONS crystal
Au 0.623 0.623 0.130
Au 0.874 0.874 0.379
Au 0.377 0.377 0.870
Au 0.126 0.126 0.621
Sc 0.750 0.750 0.749
Sc 0.250 0.250 0.251
Sc 0.500 0.500 0.500
Zr 0.000 0.000 0.000
! - Space-group type: R-3m (166)
! - Energy relative to the elements: -704 meV/atom
! - VASP energy: -5.7852 eV/atom

=====

[15]
! SrTeBr2 | Alexandria via LeMat-Bulk | PBE | relaxed; values from VASP
&SYSTEM
  ibrav = 0, nat = 4, ntyp = 3
/
ATOMIC_SPECIES
Te 127.60 Te.upf
Br 79.90 Br.upf
Sr 87.62 Sr.upf
CELL_PARAMETERS angstrom
5.021 -2.486 0.705
0.838 -3.483 4.365
0.551 -5.550 -0.883
ATOMIC_POSITIONS crystal
Te 0.500 0.500 0.500
Br 0.750 0.750 0.750
Br 0.250 0.250 0.250
Sr 0.000 0.000 0.000
! - Raw formation energy: -3.65 eV/f.u.
! - Excess energy over the best structure of this formula in the dataset: 350.5 meV/atom
! - Space-group type: Fm-3m (225)
! - VASP energy: -2.9541 eV/atom